Density functional theory data (PBE) for crystalline Tb2PrAl2 at its relaxed geometry.

## Properties
crystal system	tetragonal
SG	No. 127
energy above the most stable polymorph in this dataset	0	meV per atom

Cell: 3.6361 8.6192 8.6192 Å, 90.00 90.00 90.00°
Sites, in units of the cell vectors:
Tb1 0.0000 0.3213 0.6787
Tb2 0.0000 0.6787 0.3213
Tb3 0.0000 0.8213 0.8213
Tb4 0.0000 0.1787 0.1787
Al1 0.5000 0.8868 0.1132
Al2 0.5000 0.1132 0.8868
Al3 0.5000 0.6132 0.6132
Al4 0.5000 0.3868 0.3868
Pr1 0.5000 0.0000 0.5000
Pr2 0.5000 0.5000 0.0000